[1]
A plane-wave DFT calculation with PBE was carried out for TlSiAu after structural relaxation.

Properties
**Magnetic moment**: 0.000 μB per atom
**Energy relative to the elements, uncorrected**: 0.07 eV/atom
**Density**: 9.83 g cm⁻³
**Uncorrected energy**: -21.7 eV/cell
**Space-group type**: P1, No. 1

Cell: 3.8424 6.3917 6.5209 Å, 91.95 106.79 107.29°
Element x y z (fractional)
1 Tl 0.0000 0.0000 0.0000
2 Tl 0.4512 0.6060 0.2871
3 Si 0.0608 0.4009 0.7239
4 Si 0.4019 0.1776 0.6257
5 Au 0.2284 0.7857 0.6709
6 Au 0.7562 0.1823 0.3322

[2]
A plane-wave DFT calculation with PBE was carried out for Pu2SbPd after structural relaxation.

Properties
**Magnetic moment**: 2.825 μB per atom
**Energy relative to the elements, uncorrected**: -0.44 eV/atom
**Density**: 12.05 g cm⁻³
**Uncorrected energy**: -158.9 eV/cell
**Space-group type**: Fm-3m, No. 225

Cell: 7.3352 7.3352 7.3352 Å, 90.00 90.00 90.00°
Element x y z (fractional)
1 Pu 0.2500 0.2500 0.2500
2 Pu 0.2500 0.2500 0.7500
3 Pu 0.2500 0.7500 0.2500
4 Pu 0.2500 0.7500 0.7500
5 Pu 0.7500 0.2500 0.2500
6 Pu 0.7500 0.2500 0.7500
7 Pu 0.7500 0.7500 0.2500
8 Pu 0.7500 0.7500 0.7500
9 Sb 0.0000 0.0000 0.0000
10 Sb 0.0000 0.5000 0.5000
11 Sb 0.5000 0.0000 0.5000
12 Sb 0.5000 0.5000 0.0000
13 Pd 0.0000 0.0000 0.5000
14 Pd 0.0000 0.5000 0.0000
15 Pd 0.5000 0.0000 0.0000
16 Pd 0.5000 0.5000 0.5000

[3]
A plane-wave DFT calculation with PBE was carried out for MnAs4Pt after structural relaxation.

Properties
**Magnetic moment**: 0.739 μB per atom
**ΔE_f**: 3.51 eV/f.u.
**Density**: 8.02 g cm⁻³
**Uncorrected energy**: -30.3 eV/cell
**Space-group type**: F-43m, No. 216

Cell: 5.4395 5.4395 5.4395 Å, 60.00 60.00 60.00°
Element x y z (fractional)
1 Mn 0.0000 0.0000 0.0000
2 As 0.1236 0.6255 0.6255
3 As 0.6255 0.1236 0.6255
4 As 0.6255 0.6255 0.1236
5 As 0.6255 0.6255 0.6255
6 Pt 0.2500 0.2500 0.2500

[4]
A plane-wave DFT calculation with PBE was carried out for CuAg4Au after structural relaxation.

Properties
**Magnetic moment**: 0.000 μB per atom
**ΔE_f**: 1.54 eV/f.u.
**Density**: 9.46 g cm⁻³
**Uncorrected energy**: -34.5 eV/cell
**Space-group type**: C2/m, No. 12

Cell: 7.3697 4.3739 7.8854 Å, 90.00 107.04 90.00°
Element x y z (fractional)
1 Cu 0.0000 0.0000 0.0000
2 Cu 0.5000 0.5000 0.0000
3 Ag 0.1103 0.0000 0.3411
4 Ag 0.1246 0.5000 0.8801
5 Ag 0.3754 0.0000 0.1199
6 Ag 0.3897 0.5000 0.6589
7 Ag 0.6103 0.5000 0.3411
8 Ag 0.6246 0.0000 0.8801
9 Ag 0.8754 0.5000 0.1199
10 Ag 0.8897 0.0000 0.6589
11 Au 0.0000 0.5000 0.5000
12 Au 0.5000 0.0000 0.5000

[5]
A plane-wave DFT calculation with PBE was carried out for PmTe4Pb2 after structural relaxation.

Properties
**Magnetic moment**: 0.000 μB per atom
**Energy relative to the elements, uncorrected**: -0.64 eV/atom
**Density**: 7.16 g cm⁻³
**Uncorrected energy**: -58.4 eV/cell
**Space-group type**: Cmcm, No. 63

Cell: 7.8942 7.8942 14.6838 Å, 90.00 90.00 147.16°
Element x y z (fractional)
1 Pm 0.1032 0.8968 0.7500
2 Pm 0.8968 0.1032 0.2500
3 Te 0.0000 0.0000 0.0000
4 Te 0.0000 0.0000 0.5000
5 Te 0.2837 0.7163 0.1380
6 Te 0.2837 0.7163 0.3620
7 Te 0.4569 0.5431 0.7500
8 Te 0.5431 0.4569 0.2500
9 Te 0.7163 0.2837 0.6380
10 Te 0.7163 0.2837 0.8620
11 Pb 0.3649 0.6351 0.5617
12 Pb 0.3649 0.6351 0.9383
13 Pb 0.6351 0.3649 0.0617
14 Pb 0.6351 0.3649 0.4383

[6]
A plane-wave DFT calculation with PBE was carried out for Zr12NpBi6 after structural relaxation.

Properties
**Magnetic moment**: 0.000 μB per atom
**ΔE_f**: 1.90 eV/f.u.
**Density**: 8.63 g cm⁻³
**Uncorrected energy**: -136.9 eV/cell
**Space-group type**: R-3, No. 148

Cell: 8.1476 8.1476 8.1476 Å, 102.25 102.25 102.25°
Element x y z (fractional)
1 Zr 0.0016 0.9587 0.6885
2 Zr 0.0413 0.3115 0.9984
3 Zr 0.2195 0.5071 0.3984
4 Zr 0.3115 0.9984 0.0413
5 Zr 0.3984 0.2195 0.5071
6 Zr 0.4929 0.6016 0.7805
7 Zr 0.5071 0.3984 0.2195
8 Zr 0.6016 0.7805 0.4929
9 Zr 0.6885 0.0016 0.9587
10 Zr 0.7805 0.4929 0.6016
11 Zr 0.9587 0.6885 0.0016
12 Zr 0.9984 0.0413 0.3115
13 Np 0.0000 0.0000 0.0000
14 Bi 0.1043 0.3424 0.6580
15 Bi 0.3424 0.6580 0.1043
16 Bi 0.3420 0.8957 0.6576
17 Bi 0.6580 0.1043 0.3424
18 Bi 0.6576 0.3420 0.8957
19 Bi 0.8957 0.6576 0.3420

> Number 2 is which compound?

Pu2SbPd